1.
Computed, not measured: crystalline ZrHgMo2 at its relaxed geometry at the PBE-GGA level of DFT.

Properties
* E_tot: -7.57 eV per atom
* SG: P4mm
* E_form: 0.058 eV per atom
* volume: 18.77 Å³/atom
* magnetization: 0.000 μB per atom

Lattice parameters (Å, degrees): 3.262 3.262 7.055 90.00 90.00 90.00
Atoms (fractional coordinates):
Zr 0.000 0.000 0.000
Hg 0.500 0.500 0.294
Mo 0.000 0.000 0.560
Mo 0.500 0.500 0.755


2.
Computed, not measured: crystalline SrIrPb2 at its relaxed geometry at the PBE-GGA level of DFT.

Properties
* E_tot: -4.45 eV per atom
* SG: Fm-3m
* E_form: 0.045 eV per atom
* volume: 24.31 Å³/atom
* magnetization: 0.000 μB per atom

Lattice parameters (Å, degrees): 7.300 7.300 7.300 90.00 90.00 90.00
Atoms (fractional coordinates):
Sr 0.000 0.000 0.000
Sr 0.000 0.500 0.500
Sr 0.500 0.000 0.500
Sr 0.500 0.500 0.000
Ir 0.000 0.000 0.500
Ir 0.000 0.500 0.000
Ir 0.500 0.000 0.000
Ir 0.500 0.500 0.500
Pb 0.250 0.250 0.250
Pb 0.250 0.250 0.750
Pb 0.250 0.750 0.250
Pb 0.250 0.750 0.750
Pb 0.750 0.250 0.250
Pb 0.750 0.250 0.750
Pb 0.750 0.750 0.250
Pb 0.750 0.750 0.750